1.
Entry from Alexandria via LeMat-Bulk: BaZrAs2 at its PBEsol-relaxed geometry (SCAN). Values from VASP.

Values from the calculation:
E above lowest polymorph   0.000 eV per atom
SG   R-3m, No. 166
Calculated formation energy   -1.242 eV per atom

Structure (Quantum ESPRESSO input):
```
&SYSTEM
  ibrav = 0, nat = 4, ntyp = 3
/
ATOMIC_SPECIES
As 74.92 As.upf
Zr 91.22 Zr.upf
Ba 137.33 Ba.upf
ATOMIC_POSITIONS crystal
As 0.267 0.267 0.200
As 0.733 0.733 0.800
Zr 0.000 0.000 0.000
Ba 0.500 0.500 0.500
CELL_PARAMETERS angstrom
-3.398 1.501 1.602
-0.930 -0.773 3.861
2.205 6.275 3.907
```

2.
Entry from Alexandria via LeMat-Bulk: TaCr2Te at its PBEsol-relaxed geometry (SCAN). Values from VASP.

Values from the calculation:
Uncorrected formation energy   0.429 eV per atom
SG   P4mm, No. 99

Structure (Quantum ESPRESSO input):
```
&SYSTEM
  ibrav = 0, nat = 4, ntyp = 3
/
ATOMIC_SPECIES
Cr 52.00 Cr.upf
Ta 180.95 Ta.upf
Te 127.60 Te.upf
ATOMIC_POSITIONS crystal
Cr 0.000 0.000 0.037
Cr 0.500 0.500 0.219
Ta 0.000 0.000 0.464
Te 0.500 0.500 0.779
CELL_PARAMETERS angstrom
-2.350 -1.918 0.403
1.636 -2.266 -1.247
2.326 -1.599 5.958
```

3.
Entry from Alexandria via LeMat-Bulk: PrMnNi4 at its PBEsol-relaxed geometry (SCAN). Values from VASP.

Values from the calculation:
SG   P-6m2, No. 187
Calculated formation energy   -0.268 eV per atom

Structure (Quantum ESPRESSO input):
```
&SYSTEM
  ibrav = 0, nat = 6, ntyp = 3
/
ATOMIC_SPECIES
Ni 58.69 Ni.upf
Pr 140.91 Pr.upf
Mn 54.94 Mn.upf
ATOMIC_POSITIONS crystal
Ni 0.500 0.498 0.996
Ni 0.500 0.004 0.502
Ni 0.000 0.333 0.667
Ni 0.500 0.498 0.502
Pr 0.000 0.000 0.000
Mn 0.000 0.667 0.333
CELL_PARAMETERS angstrom
3.901 0.000 0.000
0.000 4.985 0.000
0.000 -2.493 4.317
```

no.,M_tot (μB per formula unit),total energy (eV/atom),calculated volume (Å³/atom)
1,0.00,-28.8992,26.051
2,0.00,-34.7216,15.437
3,5.02,-21.3138,13.991